(1)
Material: BaMgAgPd
Method: DFT, PBE
State: relaxed

Output
Crystal system ... trigonal
Energy of formation from the pure elements ... -0.43 eV per atom
Raw total energy ... -3.323 eV per atom
Density of states at the Fermi level ... 2.1 states/eV/f.u.

Lattice parameters (Å, degrees): 4.7020 4.7050 6.2898 111.94 90.00 119.98
Fractional coordinates of all 4 atoms:
Mg: 0.1234 0.2469 0.0123
Pd: 0.8128 0.6256 0.0804
Ba: 0.6147 0.2295 0.4865
Ag: 0.4153 0.8307 0.8882

=====

(2)
Material: BeFeCuGe
Method: DFT, PBE
State: relaxed

Output
Crystal system ... cubic
Energy of formation from the pure elements ... 0.07 eV per atom
Raw total energy ... -5.158 eV per atom
Density of states at the Fermi level ... 1.9 states/eV/f.u.

Lattice parameters (Å, degrees): 4.0024 4.0024 4.0024 60.00 60.00 60.00
Fractional coordinates of all 4 atoms:
Ge: 0.0000 0.0000 0.0000
Cu: 0.7500 0.7500 0.7500
Fe: 0.2500 0.2500 0.2500
Be: 0.5000 0.5000 0.5000